1.
Compound: Ga2PbAuCl
Source: the Alexandria database
Functional: PBE
Structure: relaxed

Values from the calculation:
uncorrected energy: -2.620 eV per atom

Unit cell a=5.3363 b=5.3363 c=4.9008 alpha=90.00 beta=90.00 gamma=90.00
Last column: nearest neighbours and their distance in Å.
Space group P4/mmm (No. 123)
One atom of each set of equivalent atoms:
Ga 0.0000 0.5000 0.0000 (multiplicity 2)  2 Cl 2.67
Pb 0.0000 0.0000 0.5000 (multiplicity 1)  8 Ga 3.62, 4 Au 3.77
Au 0.5000 0.5000 0.5000 (multiplicity 1)  2 Cl 2.45
Cl 0.5000 0.5000 0.0000 (multiplicity 1)  2 Au 2.45, 4 Ga 2.67

---

2.
Compound: RbGa2AuCl8
Source: the Alexandria database
Functional: PBE
Structure: relaxed

Values from the calculation:
uncorrected energy: -3.181 eV per atom

Unit cell a=6.5891 b=6.5891 c=9.6236 alpha=90.00 beta=90.00 gamma=120.00
Last column: nearest neighbours and their distance in Å.
Space group P-3 (No. 147)
One atom of each set of equivalent atoms:
Rb 0.0000 0.0000 0.0000 (multiplicity 1)  12 Cl 3.78-3.81
Ga 0.3333 0.6667 0.7484 (multiplicity 2)  4 Cl 2.21
Au 0.0000 0.0000 0.5000 (multiplicity 1)  6 Cl 2.78
Cl 0.0190 0.3404 0.6793 (multiplicity 6)  1 Ga 2.21
Cl 0.3333 0.6667 0.9776 (multiplicity 2)  1 Ga 2.21

---

3.
Compound: GaReAuCl2
Source: the Alexandria database
Functional: PBE
Structure: relaxed

Values from the calculation:
uncorrected energy: -3.335 eV per atom

Unit cell a=5.0160 b=5.0160 c=5.3498 alpha=90.00 beta=90.00 gamma=90.00
Last column: nearest neighbours and their distance in Å.
Space group P4/mmm (No. 123)
One atom of each set of equivalent atoms:
Ga 0.0000 0.0000 0.0000 (multiplicity 1)  2 Au 2.67
Re 0.5000 0.5000 0.0000 (multiplicity 1)  4 Ga 3.55, 8 Cl 3.67
Au 0.0000 0.0000 0.5000 (multiplicity 1)  4 Cl 2.51, 2 Ga 2.67
Cl 0.0000 0.5000 0.5000 (multiplicity 2)  2 Au 2.51

---

4.
Compound: Ga2AuSeCl
Source: the Alexandria database
Functional: PBE
Structure: relaxed

Values from the calculation:
uncorrected energy: -2.628 eV per atom

Unit cell a=5.5121 b=5.5121 c=4.7915 alpha=90.00 beta=90.00 gamma=90.00
Last column: nearest neighbours and their distance in Å.
Space group P4/mmm (No. 123)
One atom of each set of equivalent atoms:
Ga 0.0000 0.5000 0.0000 (multiplicity 2)  2 Se 2.76
Au 0.0000 0.0000 0.5000 (multiplicity 1)  8 Ga 3.65, 4 Cl 3.90
Se 0.5000 0.5000 0.0000 (multiplicity 1)  2 Cl 2.40
Cl 0.5000 0.5000 0.5000 (multiplicity 1)  2 Se 2.40

---

5.
Compound: TlGa2AuCl
Source: the Alexandria database
Functional: PBE
Structure: relaxed

Values from the calculation:
uncorrected energy: -2.442 eV per atom

Unit cell a=5.6266 b=5.6266 c=5.2262 alpha=90.00 beta=90.00 gamma=90.00
Last column: nearest neighbours and their distance in Å.
Space group P4/mmm (No. 123)
One atom of each set of equivalent atoms:
Tl 0.0000 0.0000 0.0000 (multiplicity 1)  2 Au 2.61, 4 Ga 2.81
Ga 0.0000 0.5000 0.0000 (multiplicity 2)  2 Tl 2.81
Au 0.0000 0.0000 0.5000 (multiplicity 1)  2 Tl 2.61
Cl 0.5000 0.5000 0.5000 (multiplicity 1)  8 Ga 3.84, 4 Au 3.98

---

6.
Compound: TlGa2AuCl8
Source: the Alexandria database
Functional: PBE
Structure: relaxed

Values from the calculation:
uncorrected energy: -3.122 eV per atom

Unit cell a=13.3254 b=6.9855 c=8.3583 alpha=90.00 beta=112.25 gamma=90.00
Last column: nearest neighbours and their distance in Å.
Space group C2/m (No. 12)
One atom of each set of equivalent atoms:
Tl 0.0000 0.0000 0.0000 (multiplicity 2)  6 Cl 3.27-3.54
Ga 0.1957 0.0000 0.6716 (multiplicity 4)  4 Cl 2.18-2.24
Au 0.0000 0.5000 0.5000 (multiplicity 2)  4 Cl 2.66
Cl 0.1130 0.2491 0.7396 (multiplicity 8)  1 Ga 2.24
Cl 0.1326 0.5000 0.1617 (multiplicity 4)  1 Ga 2.18
Cl 0.1748 0.0000 0.4002 (multiplicity 4)  1 Ga 2.18

---

Per-record energy relative to the elements, uncorrected, eV/atom: 0.36 -1.09 1.15 0.30 0.27 -0.92
Per-record Fermi-level density of states, states/eV/cell: 3.07 0.00 1.64 1.70 1.84 0.00